Version w
A plane-wave DFT calculation with PBE-GGA was carried out for a relaxed structure of TlCr3Ge.

```
data_TlCr3Ge
_cell_length_a 5.127
_cell_length_b 5.127
_cell_length_c 5.127
_cell_angle_alpha 90.00
_cell_angle_beta 90.00
_cell_angle_gamma 90.00
_symmetry_space_group_name_H-M 'P m -3 m'
_symmetry_Int_Tables_number 221
_symmetry_space_group_name_Hall '-P 4 2 3'
loop_
_atom_site_label
_atom_site_type_symbol
_atom_site_fract_x
_atom_site_fract_y
_atom_site_fract_z
Tl1 Tl 0.000 0.000 0.000
Cr1 Cr 0.000 0.000 0.500
Ge1 Ge 0.500 0.500 0.500
```

Version x
A plane-wave DFT calculation with PBE-GGA was carried out for a relaxed structure of TlCr3Ge.

```
data_TlCr3Ge
_cell_length_a 4.639
_cell_length_b 4.639
_cell_length_c 4.639
_cell_angle_alpha 90.00
_cell_angle_beta 90.00
_cell_angle_gamma 90.00
_symmetry_space_group_name_H-M 'P m -3 m'
_symmetry_Int_Tables_number 221
_symmetry_space_group_name_Hall '-P 4 2 3'
loop_
_atom_site_label
_atom_site_type_symbol
_atom_site_fract_x
_atom_site_fract_y
_atom_site_fract_z
Tl1 Tl 0.000 0.000 0.000
Cr1 Cr 0.000 0.500 0.500
Ge1 Ge 0.500 0.500 0.500
```

Which is most stable? The ranking, best first, is version x, version w.

Version w
A plane-wave DFT calculation with PBE-GGA was carried out for a relaxed structure of Tl3CrGe.

```
data_Tl3CrGe
_cell_length_a 5.543
_cell_length_b 5.543
_cell_length_c 5.543
_cell_angle_alpha 90.00
_cell_angle_beta 90.00
_cell_angle_gamma 90.00
_symmetry_space_group_name_H-M 'P m -3 m'
_symmetry_Int_Tables_number 221
_symmetry_space_group_name_Hall '-P 4 2 3'
loop_
_atom_site_label
_atom_site_type_symbol
_atom_site_fract_x
_atom_site_fract_y
_atom_site_fract_z
Tl1 Tl 0.000 0.000 0.500
Cr1 Cr 0.500 0.500 0.500
Ge1 Ge 0.000 0.000 0.000
```

Version x
A plane-wave DFT calculation with PBE-GGA was carried out for a relaxed structure of Tl3CrGe.

```
data_Tl3CrGe
_cell_length_a 5.295
_cell_length_b 5.295
_cell_length_c 5.295
_cell_angle_alpha 90.00
_cell_angle_beta 90.00
_cell_angle_gamma 90.00
_symmetry_space_group_name_H-M 'P m -3 m'
_symmetry_Int_Tables_number 221
_symmetry_space_group_name_Hall '-P 4 2 3'
loop_
_atom_site_label
_atom_site_type_symbol
_atom_site_fract_x
_atom_site_fract_y
_atom_site_fract_z
Tl1 Tl 0.000 0.000 0.500
Cr1 Cr 0.000 0.000 0.000
Ge1 Ge 0.500 0.500 0.500
```

Which is most stable? The ranking, best first, is version x, version w.

Version w
A plane-wave DFT calculation with PBE-GGA was carried out for a relaxed structure of UCr2Ge.

```
data_UCr2Ge
_cell_length_a 6.245
_cell_length_b 6.245
_cell_length_c 6.245
_cell_angle_alpha 90.00
_cell_angle_beta 90.00
_cell_angle_gamma 90.00
_symmetry_space_group_name_H-M 'F m -3 m'
_symmetry_Int_Tables_number 225
_symmetry_space_group_name_Hall '-F 4 2 3'
loop_
_atom_site_label
_atom_site_type_symbol
_atom_site_fract_x
_atom_site_fract_y
_atom_site_fract_z
U1 U 0.000 0.000 0.000
Cr1 Cr 0.250 0.250 0.250
Ge1 Ge 0.000 0.000 0.500
```

Version x
A plane-wave DFT calculation with PBE-GGA was carried out for a relaxed structure of UCr2Ge.

```
data_UCr2Ge
_cell_length_a 4.211
_cell_length_b 4.211
_cell_length_c 3.367
_cell_angle_alpha 90.00
_cell_angle_beta 90.00
_cell_angle_gamma 90.00
_symmetry_space_group_name_H-M 'P 4/m m m'
_symmetry_Int_Tables_number 123
_symmetry_space_group_name_Hall '-P 4 2'
loop_
_atom_site_label
_atom_site_type_symbol
_atom_site_fract_x
_atom_site_fract_y
_atom_site_fract_z
U1 U 0.000 0.000 0.000
Cr1 Cr 0.000 0.500 0.500
Ge1 Ge 0.500 0.500 0.000
```

Which is most stable? The ranking, best first, is version x, version w.

Version w
A plane-wave DFT calculation with PBE-GGA was carried out for a relaxed structure of V2CrGe2.

```
data_V2CrGe2
_cell_length_a 4.146
_cell_length_b 13.303
_cell_length_c 5.052
_cell_angle_alpha 90.00
_cell_angle_beta 90.00
_cell_angle_gamma 90.00
_symmetry_space_group_name_H-M 'C m c 21'
_symmetry_Int_Tables_number 36
loop_
_symmetry_equiv_pos_as_xyz
'x,y,z'
'-x,-y,z+1/2'
'-x,y,z'
'x,-y,z+1/2'
'x+1/2,y+1/2,z'
'-x+1/2,-y+1/2,z+1/2'
'-x+1/2,y+1/2,z'
'x+1/2,-y+1/2,z+1/2'
loop_
_atom_site_label
_atom_site_type_symbol
_atom_site_fract_x
_atom_site_fract_y
_atom_site_fract_z
V1 V 0.000 0.022 0.000
V2 V 0.000 0.164 0.467
Cr1 Cr 0.000 0.365 0.236
Ge1 Ge 0.000 0.210 0.964
Ge2 Ge 0.000 0.437 0.771
```

Version x
A plane-wave DFT calculation with PBE-GGA was carried out for a relaxed structure of V2CrGe2.

```
data_V2CrGe2
_cell_length_a 6.471
_cell_length_b 6.471
_cell_length_c 3.381
_cell_angle_alpha 90.00
_cell_angle_beta 90.00
_cell_angle_gamma 90.00
_symmetry_space_group_name_H-M 'P 4/m b m'
_symmetry_Int_Tables_number 127
_symmetry_space_group_name_Hall '-P 4 2ab'
loop_
_atom_site_label
_atom_site_type_symbol
_atom_site_fract_x
_atom_site_fract_y
_atom_site_fract_z
V1 V 0.166 0.334 0.000
Cr1 Cr 0.000 0.000 0.500
Ge1 Ge 0.138 0.638 0.500
```

Which is most stable? The ranking, best first, is version w, version x.